(1)
This record from the Alexandria database describes a relaxed structure of Zn2PCl. The functional is GGA-PBE.

## Properties
uncorrected formation energy: -0.245 eV per atom
space group: No. 8
V: 20.795 A^3/atom

```
Zn2PCl
1.0
-1.0750 -2.1307 6.5999
-4.0503 -2.6931 5.0594
0.6549 -3.7160 0.0916
Zn Cl P
2 1 1
Direct
0.9158 0.9158 0.9540
0.7484 0.7484 0.6246
0.5535 0.5535 0.8364
0.2822 0.2822 0.0851
```

=====

(2)
This record from the Alexandria database describes a relaxed structure of ZnCrAg. The functional is GGA-PBE.

## Properties
space group: No. 107
ΔE_f: 0.27 eV/atom
V: 15.958 A^3/atom

```
ZnCrAg
1.0
-3.6043 -3.5445 0.1749
0.2476 -4.3426 2.5818
0.7464 4.9819 0.4574
Cr Ag Zn
1 1 1
Direct
0.3256 0.3256 0.0000
0.0036 0.0036 0.0000
0.6708 0.6708 0.0000
```

=====

(3)
This record from the Alexandria database describes a relaxed structure of NaVS3. The functional is GGA-PBE.

## Properties
uncorrected formation energy: -0.591 eV per atom
space group: No. 221
V: 19.923 A^3/atom

```
NaVS3
1.0
4.6357 0.0000 0.0000
0.0000 4.6357 0.0000
0.0000 0.0000 4.6357
S Na V
3 1 1
Direct
0.0000 0.0000 0.5000
0.0000 0.5000 0.0000
0.5000 0.0000 0.0000
0.5000 0.5000 0.5000
0.0000 0.0000 0.0000
```

=====

(4)
This record from the Alexandria database describes a relaxed structure of AlTeOs2. The functional is GGA-PBE.

## Properties
uncorrected formation energy: 0.588 eV per atom
space group: No. 71
V: 16.604 A^3/atom

```
AlTeOs2
1.0
5.4012 0.0118 0.0016
2.4099 4.8338 -0.0016
-3.2468 -3.4847 2.5473
Al Te Os
1 1 2
Direct
0.2500 0.7500 0.5000
0.7500 0.2500 0.5000
0.0287 0.0287 0.0000
0.4713 0.4713 0.0000
```

=====

(5)
This record from the Alexandria database describes a relaxed structure of Be4Pd3Pt. The functional is GGA-PBE.

## Properties
space group: No. 123
ΔE_f: -0.64 eV/atom
V: 11.399 A^3/atom

```
Be4Pd3Pt
1.0
2.8007 0.0000 0.0000
0.0000 2.8007 0.0000
0.0000 0.0000 11.6259
Be Pd Pt
4 3 1
Direct
0.0000 0.0000 0.6240
0.0000 0.0000 0.1251
0.0000 0.0000 0.3760
0.0000 0.0000 0.8749
0.5000 0.5000 0.2516
0.5000 0.5000 0.7484
0.5000 0.5000 0.5000
0.5000 0.5000 0.0000
```

=====

(6)
This record from the Alexandria database describes a relaxed structure of Al2AgMo. The functional is GGA-PBE.

## Properties
space group: No. 6
ΔE_f: -0.02 eV/atom
V: 15.978 A^3/atom

```
Al2AgMo
1.0
4.4562 0.0000 0.0000
0.0000 2.7820 0.0347
0.0000 1.3328 5.1719
Al Ag Mo
2 1 1
Direct
0.5000 0.0403 0.2919
0.0000 0.2027 0.9726
0.5000 0.7921 0.7925
0.0000 0.4649 0.4430
```

=====

(7)
This record from the Alexandria database describes a relaxed structure of BSbS2. The functional is GGA-PBE.

## Properties
uncorrected formation energy: 0.237 eV per atom
space group: No. 166
V: 22.253 A^3/atom

```
BSbS2
1.0
2.1001 0.0000 7.7685
-1.0500 1.8187 7.7685
-1.0500 -1.8187 7.7685
Sb S B
1 2 1
Direct
0.5000 0.5000 0.5000
0.0724 0.0724 0.0724
0.9276 0.9276 0.9276
0.0000 0.0000 0.0000
```

=====

(8)
This record from the Alexandria database describes a relaxed structure of V2TcPbW. The functional is GGA-PBE.

## Properties
space group: No. 123
ΔE_f: 1.77 eV/atom
V: 22.640 A^3/atom

```
V2TcPbW
1.0
-0.4619 -4.3117 1.6640
4.2767 0.6852 2.9625
-2.6514 1.6169 3.4537
Pb V W Tc
1 2 1 1
Direct
0.0000 0.5000 0.0000
0.5000 0.0000 0.0000
0.0000 0.0000 0.5000
0.0000 0.0000 0.0000
0.5000 0.5000 0.5000
```

=====

(9)
This record from the Alexandria database describes a relaxed structure of ThHgBr. The functional is GGA-PBE.

## Properties
uncorrected formation energy: -0.668 eV per atom
space group: No. 11
V: 26.870 A^3/atom

```
ThHgBr
1.0
-3.8884 -1.1152 0.2025
1.2807 -4.6466 -0.9978
2.7782 -0.9108 7.8076
Th Br Hg
2 2 2
Direct
0.8852 0.7500 0.2705
0.1148 0.2500 0.7295
0.7623 0.2500 0.0244
0.2377 0.7500 0.9756
0.5549 0.7500 0.6106
0.4451 0.2500 0.3894
```

=====

(10)
This record from the Alexandria database describes a relaxed structure of PmNd2Mg3. The functional is GGA-PBE.

## Properties
space group: No. 123
ΔE_f: -0.11 eV/atom
V: 29.251 A^3/atom

```
PmNd2Mg3
1.0
-1.3125 -2.8158 2.3259
-1.5781 -1.7916 -3.0596
9.8893 -5.9468 -1.6187
Mg Nd Pm
3 2 1
Direct
0.0000 0.0000 0.3358
0.0000 0.0000 0.6642
0.0000 0.0000 0.0000
0.5000 0.5000 0.8320
0.5000 0.5000 0.1680
0.5000 0.5000 0.5000
```

=====

(11)
This record from the Alexandria database describes a relaxed structure of BeTlPt2. The functional is GGA-PBE.

## Properties
space group: No. 65
ΔE_f: -0.27 eV/atom
V: 15.721 A^3/atom

```
BeTlPt2
1.0
2.8941 0.0419 0.0000
-0.0493 2.8940 0.0000
0.0000 0.0000 7.5063
Tl Pt Be
1 2 1
Direct
0.5000 0.5000 0.2500
0.0000 0.0000 0.9371
0.0000 0.0000 0.5629
0.5000 0.5000 0.7500
```

=====

(12)
This record from the Alexandria database describes a relaxed structure of Ba2LaPb. The functional is GGA-PBE.

## Properties
space group: No. 216
ΔE_f: -0.08 eV/atom
V: 39.674 A^3/atom

```
Ba2LaPb
1.0
-5.1511 3.1773 -0.5490
-4.7269 -1.2266 3.6171
-1.6142 3.9435 4.3330
La Ba Pb
1 2 1
Direct
0.5000 0.5000 0.5000
0.2500 0.2500 0.2500
0.0000 0.0000 0.0000
0.7500 0.7500 0.7500
```

=====

(13)
This record from the Alexandria database describes a relaxed structure of AgSnO3. The functional is GGA-PBE.

## Properties
uncorrected formation energy: -0.930 eV per atom
space group: No. 65
V: 13.467 A^3/atom

```
AgSnO3
1.0
-1.5870 5.7849 2.8018
-0.2011 -4.8148 4.5399
3.1456 0.5255 0.6967
Ag Sn O
2 2 6
Direct
0.0000 0.0000 0.0000
0.5000 0.5000 0.0000
0.0000 0.5000 0.5000
0.5000 0.0000 0.5000
0.6735 0.9387 0.0000
0.0613 0.3265 0.0000
0.6670 0.3330 0.5000
0.9387 0.6735 0.0000
0.3330 0.6670 0.5000
0.3265 0.0613 0.0000
```

=====

(14)
This record from the Alexandria database describes a relaxed structure of Pr8Dy3Y4. The functional is GGA-PBE.

## Properties
space group: No. 12
ΔE_f: 0.32 eV/atom
V: 34.915 A^3/atom

```
Pr8Dy3Y4
1.0
6.9635 -0.0355 -0.0511
-3.2257 8.5554 1.5388
-3.2257 -1.5269 8.5576
Y Dy Pr
4 3 8
Direct
0.0000 0.0000 0.5000
0.5000 0.0000 0.0000
0.0000 0.0000 0.0000
0.0000 0.5000 0.0000
0.5000 0.0000 0.5000
0.5000 0.5000 0.0000
0.5000 0.5000 0.5000
0.0000 0.7054 0.2946
0.7125 0.7548 0.7548
0.1783 0.7028 0.7028
0.8217 0.2972 0.2972
0.2875 0.2452 0.2452
0.0000 0.2946 0.7054
0.5000 0.2475 0.7525
0.5000 0.7525 0.2475
```